Ba2YCl: optimized geometry, PBE-GGA.

## Properties
As for the energy above the most stable polymorph in this dataset: 0.92 eV/f.u. Its formation energy from raw total energies is -1.9 eV/f.u. Its density of states at the Fermi level is 4.91 states/eV/cell.

The structure in CIF format:
```
data_Ba2YCl
_chemical_formula_sum 'Ba2 Y1 Cl1'
_space_group_name_H-M_alt 'P 4 m m'
_space_group_IT_number 99
_cell_length_a 3.990
_cell_length_b 3.990
_cell_length_c 12.292
_cell_angle_alpha 90.00
_cell_angle_beta 90.00
_cell_angle_gamma 90.00
loop_
_space_group_symop_operation_xyz
'x,y,z'
'-y,x,z'
'-x,-y,z'
'y,-x,z'
'-x,y,z'
'y,x,z'
'x,-y,z'
'-y,-x,z'
loop_
_atom_site_label
_atom_site_type_symbol
_atom_site_fract_x
_atom_site_fract_y
_atom_site_fract_z
_atom_site_occupancy
Ba1 Ba 0.000 0.000 0.000 1
Ba2 Ba 0.500 0.500 0.321 1
Y1 Y 0.500 0.500 0.780 1
Cl1 Cl 0.000 0.000 0.429 1
```


Ba2YCl7: optimized geometry, PBE-GGA.

## Properties
As for the energy above the most stable polymorph in this dataset: 0.00 eV/f.u. Its formation energy from raw total energies is -24.4 eV/f.u. Its density of states at the Fermi level is 0.00 states/eV/cell.

The structure in CIF format:
```
data_Ba2YCl7
_chemical_formula_sum 'Ba8 Y4 Cl28'
_space_group_name_H-M_alt 'P 1 21/c 1'
_space_group_IT_number 14
_cell_length_a 6.984
_cell_length_b 15.682
_cell_length_c 10.664
_cell_angle_alpha 90.00
_cell_angle_beta 90.67
_cell_angle_gamma 90.00
loop_
_space_group_symop_operation_xyz
'x,y,z'
'-x,-y,-z'
'-x,y+1/2,-z+1/2'
'x,-y+1/2,z+1/2'
loop_
_atom_site_label
_atom_site_type_symbol
_atom_site_fract_x
_atom_site_fract_y
_atom_site_fract_z
_atom_site_occupancy
Ba1 Ba 0.232 0.219 0.452 1
Ba2 Ba 0.233 0.560 0.324 1
Y1 Y 0.279 0.627 0.781 1
Cl1 Cl 0.011 0.742 0.300 1
Cl2 Cl 0.012 0.606 0.584 1
Cl3 Cl 0.197 0.039 0.288 1
Cl4 Cl 0.198 0.638 0.026 1
Cl5 Cl 0.379 0.070 0.623 1
Cl6 Cl 0.497 0.727 0.292 1
Cl7 Cl 0.498 0.604 0.571 1
```


Ba2YCl: optimized geometry, PBE-GGA.

## Properties
As for the energy above the most stable polymorph in this dataset: 0.27 eV/f.u. Its formation energy from raw total energies is -2.5 eV/f.u. Its density of states at the Fermi level is 6.56 states/eV/cell.

The structure in CIF format:
```
data_Ba2YCl
_chemical_formula_sum 'Ba2 Y1 Cl1'
_space_group_name_H-M_alt 'P 4/m m m'
_space_group_IT_number 123
_space_group_name_Hall '-P 4 2'
_cell_length_a 3.905
_cell_length_b 3.905
_cell_length_c 10.560
_cell_angle_alpha 90.00
_cell_angle_beta 90.00
_cell_angle_gamma 90.00
loop_
_atom_site_label
_atom_site_type_symbol
_atom_site_fract_x
_atom_site_fract_y
_atom_site_fract_z
_atom_site_occupancy
Ba1 Ba 0.000 0.000 0.214 1
Y1 Y 0.500 0.500 0.500 1
Cl1 Cl 0.500 0.500 0.000 1
```


Ba2YCl: optimized geometry, PBE-GGA.

## Properties
As for the energy above the most stable polymorph in this dataset: 1.76 eV/f.u. Its formation energy from raw total energies is -1.0 eV/f.u. Its density of states at the Fermi level is 10.81 states/eV/cell.

The structure in CIF format:
```
data_Ba2YCl
_chemical_formula_sum 'Ba4 Y2 Cl2'
_space_group_name_H-M_alt 'I -4 m 2'
_space_group_IT_number 119
_space_group_name_Hall 'I -4 -2'
_cell_length_a 4.839
_cell_length_b 4.839
_cell_length_c 15.614
_cell_angle_alpha 90.00
_cell_angle_beta 90.00
_cell_angle_gamma 90.00
loop_
_atom_site_label
_atom_site_type_symbol
_atom_site_fract_x
_atom_site_fract_y
_atom_site_fract_z
_atom_site_occupancy
Ba1 Ba 0.000 0.000 0.000 1
Ba2 Ba 0.000 0.500 0.250 1
Y1 Y 0.000 0.000 0.500 1
Cl1 Cl 0.000 0.500 0.750 1
```


BaYCl2: optimized geometry, PBE-GGA.

## Properties
As for the energy above the most stable polymorph in this dataset: 1.10 eV/f.u. Its formation energy from raw total energies is -4.7 eV/f.u. Its density of states at the Fermi level is 5.24 states/eV/cell.

The structure in CIF format:
```
data_BaYCl2
_chemical_formula_sum 'Ba2 Y2 Cl4'
_space_group_name_H-M_alt 'I -4 m 2'
_space_group_IT_number 119
_space_group_name_Hall 'I -4 -2'
_cell_length_a 4.252
_cell_length_b 4.252
_cell_length_c 14.936
_cell_angle_alpha 90.00
_cell_angle_beta 90.00
_cell_angle_gamma 90.00
loop_
_atom_site_label
_atom_site_type_symbol
_atom_site_fract_x
_atom_site_fract_y
_atom_site_fract_z
_atom_site_occupancy
Ba1 Ba 0.000 0.000 0.000 1
Y1 Y 0.000 0.500 0.250 1
Cl1 Cl 0.000 0.000 0.500 1
Cl2 Cl 0.000 0.500 0.750 1
```


BaYCl: optimized geometry, PBE-GGA.

## Properties
As for the energy above the most stable polymorph in this dataset: 0.00 eV/f.u. Its formation energy from raw total energies is -2.6 eV/f.u. Its density of states at the Fermi level is 2.84 states/eV/cell.

The structure in CIF format:
```
data_BaYCl
_chemical_formula_sum 'Ba1 Y1 Cl1'
_space_group_name_H-M_alt 'P 3 m 1'
_space_group_IT_number 156
_cell_length_a 3.9220
_cell_length_b 3.9220
_cell_length_c 7.6497
_cell_angle_alpha 90.00
_cell_angle_beta 90.00
_cell_angle_gamma 120.00
loop_
_space_group_symop_operation_xyz
'x,y,z'
'-y,x-y,z'
'-x+y,-x,z'
'-y,-x,z'
'-x+y,y,z'
'x,x-y,z'
loop_
_atom_site_label
_atom_site_type_symbol
_atom_site_fract_x
_atom_site_fract_y
_atom_site_fract_z
_atom_site_occupancy
Ba1 Ba 0.0000 0.0000 0.0000 1
Y1 Y 0.3333 0.6667 0.5924 1
Cl1 Cl 0.6667 0.3333 0.3387 1
```


BaY2Cl8: optimized geometry, PBE-GGA.

## Properties
Its formation energy from raw total energies is -25.5 eV/f.u. Its density of states at the Fermi level is 0.00 states/eV/cell.

The structure in CIF format:
```
data_BaY2Cl8
_chemical_formula_sum 'Ba4 Y8 Cl32'
_space_group_name_H-M_alt 'C 1 2/c 1'
_space_group_IT_number 15
_cell_length_a 17.285
_cell_length_b 9.792
_cell_length_c 10.400
_cell_angle_alpha 90.00
_cell_angle_beta 118.09
_cell_angle_gamma 90.00
loop_
_space_group_symop_operation_xyz
'x,y,z'
'-x,-y,-z'
'-x,y,-z+1/2'
'x,-y,z+1/2'
'x+1/2,y+1/2,z'
'-x+1/2,-y+1/2,-z'
'-x+1/2,y+1/2,-z+1/2'
'x+1/2,-y+1/2,z+1/2'
loop_
_atom_site_label
_atom_site_type_symbol
_atom_site_fract_x
_atom_site_fract_y
_atom_site_fract_z
_atom_site_occupancy
Ba1 Ba 0.000 0.027 0.250 1
Y1 Y 0.248 0.217 0.787 1
Cl1 Cl 0.098 0.113 0.587 1
Cl2 Cl 0.129 0.258 0.284 1
Cl3 Cl 0.146 0.208 0.933 1
Cl4 Cl 0.192 0.458 0.660 1
```


Ba3YCl: optimized geometry, PBE-GGA.

## Properties
As for the energy above the most stable polymorph in this dataset: 0.00 eV/f.u. Its formation energy from raw total energies is -2.4 eV/f.u. Its density of states at the Fermi level is 9.12 states/eV/cell.

The structure in CIF format:
```
data_Ba3YCl
_chemical_formula_sum 'Ba3 Y1 Cl1'
_space_group_name_H-M_alt 'P m -3 m'
_space_group_IT_number 221
_space_group_name_Hall '-P 4 2 3'
_cell_length_a 6.172
_cell_length_b 6.172
_cell_length_c 6.172
_cell_angle_alpha 90.00
_cell_angle_beta 90.00
_cell_angle_gamma 90.00
loop_
_atom_site_label
_atom_site_type_symbol
_atom_site_fract_x
_atom_site_fract_y
_atom_site_fract_z
_atom_site_occupancy
Ba1 Ba 0.000 0.000 0.500 1
Y1 Y 0.500 0.500 0.500 1
Cl1 Cl 0.000 0.000 0.000 1
```


Ba2YCl: optimized geometry, PBE-GGA.

## Properties
As for the energy above the most stable polymorph in this dataset: 0.81 eV/f.u. Its formation energy from raw total energies is -2.0 eV/f.u. Its density of states at the Fermi level is 5.40 states/eV/cell.

The structure in CIF format:
```
data_Ba2YCl
_chemical_formula_sum 'Ba2 Y1 Cl1'
_space_group_name_H-M_alt 'P 4 m m'
_space_group_IT_number 99
_cell_length_a 6.518
_cell_length_b 6.518
_cell_length_c 4.230
_cell_angle_alpha 90.00
_cell_angle_beta 90.00
_cell_angle_gamma 90.00
loop_
_space_group_symop_operation_xyz
'x,y,z'
'-y,x,z'
'-x,-y,z'
'y,-x,z'
'-x,y,z'
'y,x,z'
'x,-y,z'
'-y,-x,z'
loop_
_atom_site_label
_atom_site_type_symbol
_atom_site_fract_x
_atom_site_fract_y
_atom_site_fract_z
_atom_site_occupancy
Ba1 Ba 0.000 0.500 0.000 1
Y1 Y 0.000 0.000 0.500 1
Cl1 Cl 0.500 0.500 0.998 1
```


Ba2YCl: optimized geometry, PBE-GGA.

## Properties
As for the energy above the most stable polymorph in this dataset: 1.16 eV/f.u. Its formation energy from raw total energies is -1.6 eV/f.u. Its density of states at the Fermi level is 33.74 states/eV/cell.

The structure in CIF format:
```
data_Ba2YCl
_chemical_formula_sum 'Ba8 Y4 Cl4'
_space_group_name_H-M_alt 'I -4 2 d'
_space_group_IT_number 122
_space_group_name_Hall 'I -4 2bw'
_cell_length_a 9.502
_cell_length_b 9.502
_cell_length_c 8.220
_cell_angle_alpha 90.00
_cell_angle_beta 90.00
_cell_angle_gamma 90.00
loop_
_atom_site_label
_atom_site_type_symbol
_atom_site_fract_x
_atom_site_fract_y
_atom_site_fract_z
_atom_site_occupancy
Ba1 Ba 0.171 0.250 0.125 1
Y1 Y 0.000 0.000 0.500 1
Cl1 Cl 0.000 0.000 0.000 1
```


Ba2YCl7: optimized geometry, PBE-GGA.

## Properties
As for the energy above the most stable polymorph in this dataset: 0.69 eV/f.u. Its formation energy from raw total energies is -23.7 eV/f.u. Its density of states at the Fermi level is 0.00 states/eV/cell.

The structure in CIF format:
```
data_Ba2YCl7
_chemical_formula_sum 'Ba8 Y4 Cl28'
_space_group_name_H-M_alt 'C 1 2/c 1'
_space_group_IT_number 15
_cell_length_a 16.828
_cell_length_b 8.190
_cell_length_c 10.802
_cell_angle_alpha 90.00
_cell_angle_beta 128.92
_cell_angle_gamma 90.00
loop_
_space_group_symop_operation_xyz
'x,y,z'
'-x,-y,-z'
'-x,y,-z+1/2'
'x,-y,z+1/2'
'x+1/2,y+1/2,z'
'-x+1/2,-y+1/2,-z'
'-x+1/2,y+1/2,-z+1/2'
'x+1/2,-y+1/2,z+1/2'
loop_
_atom_site_label
_atom_site_type_symbol
_atom_site_fract_x
_atom_site_fract_y
_atom_site_fract_z
_atom_site_occupancy
Ba1 Ba 0.194 0.019 0.300 1
Y1 Y 0.000 0.442 0.750 1
Cl1 Cl 0.000 0.098 0.750 1
Cl2 Cl 0.091 0.340 0.054 1
Cl3 Cl 0.119 0.285 0.429 1
Cl4 Cl 0.187 0.370 0.834 1
```


Ba3YCl: optimized geometry, PBE-GGA.

## Properties
As for the energy above the most stable polymorph in this dataset: 3.49 eV/f.u. Its formation energy from raw total energies is 1.1 eV/f.u. Its density of states at the Fermi level is 10.02 states/eV/cell.

The structure in CIF format:
```
data_Ba3YCl
_chemical_formula_sum 'Ba3 Y1 Cl1'
_space_group_name_H-M_alt 'P m -3 m'
_space_group_IT_number 221
_space_group_name_Hall '-P 4 2 3'
_cell_length_a 6.768
_cell_length_b 6.768
_cell_length_c 6.768
_cell_angle_alpha 90.00
_cell_angle_beta 90.00
_cell_angle_gamma 90.00
loop_
_atom_site_label
_atom_site_type_symbol
_atom_site_fract_x
_atom_site_fract_y
_atom_site_fract_z
_atom_site_occupancy
Ba1 Ba 0.000 0.000 0.500 1
Y1 Y 0.000 0.000 0.000 1
Cl1 Cl 0.500 0.500 0.500 1
```


BaYCl2: optimized geometry, PBE-GGA.

## Properties
As for the energy above the most stable polymorph in this dataset: 0.90 eV/f.u. Its formation energy from raw total energies is -4.9 eV/f.u. Its density of states at the Fermi level is 11.43 states/eV/cell.

The structure in CIF format:
```
data_BaYCl2
_chemical_formula_sum 'Ba4 Y4 Cl8'
_space_group_name_H-M_alt 'I -4 2 d'
_space_group_IT_number 122
_space_group_name_Hall 'I -4 2bw'
_cell_length_a 6.144
_cell_length_b 6.144
_cell_length_c 15.522
_cell_angle_alpha 90.00
_cell_angle_beta 90.00
_cell_angle_gamma 90.00
loop_
_atom_site_label
_atom_site_type_symbol
_atom_site_fract_x
_atom_site_fract_y
_atom_site_fract_z
_atom_site_occupancy
Ba1 Ba 0.000 0.000 0.000 1
Y1 Y 0.000 0.000 0.500 1
Cl1 Cl 0.175 0.250 0.625 1
```


Quick rundown of uncorrected energy, same order as above: -3.510 -4.764 -3.673 -3.301 -4.207 -4.268 -5.009 -3.292 -3.538 -3.451 -4.695 -2.595 -4.257 eV per atom